No. 1
Here is a relaxed AgBiPd14 crystal from Alexandria via LeMat-Bulk. Energies are from PBE.

Cell: 5.683 5.683 7.960 Å, 90.00 90.00 90.00°
Positions (direct):
Ag  0.000  0.000  0.000
Bi  0.500  0.500  0.000
Pd  0.000  0.000  0.500
Pd  0.000  0.500  0.000
Pd  0.000  0.500  0.500
Pd  0.249  0.249  0.255
Pd  0.249  0.249  0.745
Pd  0.249  0.751  0.255
Pd  0.249  0.751  0.745
Pd  0.500  0.000  0.000
Pd  0.500  0.000  0.500
Pd  0.500  0.500  0.500
Pd  0.751  0.249  0.255
Pd  0.751  0.249  0.745
Pd  0.751  0.751  0.255
Pd  0.751  0.751  0.745

Values from the calculation:
DOS at the Fermi energy = 32.17 states/eV per cell
Total magnetic moment = 0.000 μB/atom
Energy of formation from the pure elements = -0.062 eV per atom



No. 2
Here is a relaxed AgBi5Pd3 crystal from Alexandria via LeMat-Bulk. Energies are from PBE.

Cell: 7.119 7.119 10.201 Å, 104.56 104.56 89.27°
Positions (direct):
Ag  0.240  0.240  0.251
Ag  0.760  0.760  0.749
Bi  0.164  0.706  0.135
Bi  0.226  0.774  0.500
Bi  0.244  0.244  0.554
Bi  0.294  0.836  0.865
Bi  0.308  0.308  0.922
Bi  0.692  0.692  0.078
Bi  0.706  0.164  0.135
Bi  0.756  0.756  0.446
Bi  0.774  0.226  0.500
Bi  0.836  0.294  0.865
Pd  0.000  0.000  0.000
Pd  0.016  0.016  0.696
Pd  0.498  0.498  0.217
Pd  0.500  0.500  0.500
Pd  0.502  0.502  0.783
Pd  0.984  0.984  0.304

Values from the calculation:
DOS at the Fermi energy = 7.58 states/eV per cell
Total magnetic moment = 0.000 μB/atom
Energy of formation from the pure elements = -0.037 eV per atom



Number 1: energy -80.432 eV per cell. Number 2: energy -76.336 eV per cell.